Below is a PBEsol-optimized structure of RbZnSb3, with properties calculated at the SCAN level.

Geometry as CIF:
```
data_RbZnSb3
_cell_length_a 5.345
_cell_length_b 5.345
_cell_length_c 5.345
_cell_angle_alpha 90.00
_cell_angle_beta 90.00
_cell_angle_gamma 90.00
_symmetry_space_group_name_H-M 'P m -3 m'
_symmetry_Int_Tables_number 221
_symmetry_space_group_name_Hall '-P 4 2 3'
loop_
_atom_site_label
_atom_site_type_symbol
_atom_site_fract_x
_atom_site_fract_y
_atom_site_fract_z
Rb1 Rb 0.000 0.000 0.000
Zn1 Zn 0.500 0.500 0.500
Sb1 Sb 0.000 0.500 0.500
```

Computed properties:
Uncorrected formation energy in meV per atom: 163



Below is a PBEsol-optimized structure of ScTe2As, with properties calculated at the SCAN level.

Geometry as CIF:
```
data_ScTe2As
_cell_length_a 3.7948
_cell_length_b 3.7948
_cell_length_c 23.7794
_cell_angle_alpha 90.00
_cell_angle_beta 90.00
_cell_angle_gamma 120.00
_symmetry_space_group_name_H-M 'R -3 m'
_symmetry_Int_Tables_number 166
_symmetry_space_group_name_Hall '-R 3 2"'
loop_
_atom_site_label
_atom_site_type_symbol
_atom_site_fract_x
_atom_site_fract_y
_atom_site_fract_z
Sc1 Sc 0.0000 0.0000 0.0000
Te1 Te 0.0000 0.0000 0.2521
As1 As 0.0000 0.0000 0.5000
```

Computed properties:
Uncorrected formation energy in meV per atom: -297



Below is a PBEsol-optimized structure of Ca2ScTl, with properties calculated at the SCAN level.

Geometry as CIF:
```
data_Ca2ScTl
_cell_length_a 3.534
_cell_length_b 4.449
_cell_length_c 7.373
_cell_angle_alpha 90.00
_cell_angle_beta 90.00
_cell_angle_gamma 90.00
_symmetry_space_group_name_H-M 'P m m 2'
_symmetry_Int_Tables_number 25
_symmetry_space_group_name_Hall 'P 2 -2'
loop_
_atom_site_label
_atom_site_type_symbol
_atom_site_fract_x
_atom_site_fract_y
_atom_site_fract_z
Ca1 Ca 0.000 0.000 0.000
Ca2 Ca 0.500 0.500 0.315
Sc1 Sc 0.000 0.000 0.574
Tl1 Tl 0.500 0.500 0.756
```

Computed properties:
ΔE to the lowest computed polymorph in meV per atom: 0
Formation enthalpy at 0 K in eV per atom: -0.155



Below is a PBEsol-optimized structure of LaTa2Tc2, with properties calculated at the SCAN level.

Geometry as CIF:
```
data_LaTa2Tc2
_cell_length_a 4.279
_cell_length_b 4.279
_cell_length_c 11.239
_cell_angle_alpha 90.00
_cell_angle_beta 90.00
_cell_angle_gamma 90.00
_symmetry_space_group_name_H-M 'I 4/m m m'
_symmetry_Int_Tables_number 139
_symmetry_space_group_name_Hall '-I 4 2'
loop_
_atom_site_label
_atom_site_type_symbol
_atom_site_fract_x
_atom_site_fract_y
_atom_site_fract_z
La1 La 0.000 0.000 0.000
Ta1 Ta 0.000 0.500 0.250
Tc1 Tc 0.000 0.000 0.382
```

Computed properties:
Formation enthalpy at 0 K in eV per atom: -0.105



Below is a PBEsol-optimized structure of Li3Mn2P5O16, with properties calculated at the SCAN level.

Geometry as CIF:
```
data_Li3Mn2P5O16
_cell_length_a 5.025
_cell_length_b 6.953
_cell_length_c 18.059
_cell_angle_alpha 90.00
_cell_angle_beta 93.31
_cell_angle_gamma 90.00
_symmetry_space_group_name_H-M 'P 1 2/c 1'
_symmetry_Int_Tables_number 13
_symmetry_space_group_name_Hall '-P 2yc'
loop_
_atom_site_label
_atom_site_type_symbol
_atom_site_fract_x
_atom_site_fract_y
_atom_site_fract_z
Li1 Li 0.000 0.017 0.250
Li2 Li 0.243 0.331 0.964
Mn1 Mn 0.232 0.169 0.413
P1 P 0.237 0.467 0.124
P2 P 0.272 0.132 0.589
P3 P 0.500 0.237 0.250
O1 O 0.060 0.451 0.393
O2 O 0.103 0.206 0.522
O3 O 0.128 0.018 0.134
O4 O 0.306 0.380 0.205
O5 O 0.309 0.317 0.645
O6 O 0.322 0.128 0.299
O7 O 0.413 0.382 0.068
O8 O 0.443 0.089 0.930
```

Computed properties:
Uncorrected formation energy in meV per atom: -2463



Below is a PBEsol-optimized structure of Li2NiRuAu, with properties calculated at the SCAN level.

Geometry as CIF:
```
data_Li2NiRuAu
_cell_length_a 4.381
_cell_length_b 4.381
_cell_length_c 4.305
_cell_angle_alpha 90.00
_cell_angle_beta 90.00
_cell_angle_gamma 90.00
_symmetry_space_group_name_H-M 'P 4/m m m'
_symmetry_Int_Tables_number 123
_symmetry_space_group_name_Hall '-P 4 2'
loop_
_atom_site_label
_atom_site_type_symbol
_atom_site_fract_x
_atom_site_fract_y
_atom_site_fract_z
Li1 Li 0.000 0.500 0.000
Ni1 Ni 0.000 0.000 0.500
Ru1 Ru 0.000 0.000 0.000
Au1 Au 0.500 0.500 0.500
```

Computed properties:
Formation enthalpy at 0 K in eV per atom: 0.953